TbFe12Si6 after structural relaxation, computed with PBE.

Unit cell a=6.564 b=6.564 c=6.564 alpha=104.86 beta=104.86 gamma=104.86
Last column: magnetic moment on the atom in μB.
Element x y z (fractional)
Fe 0.878 0.122 0.500  1.32
Fe 0.122 0.878 0.500  1.32
Fe 0.568 0.836 0.568  2.29
Fe 0.878 0.500 0.122  1.32
Fe 0.568 0.568 0.836  2.29
Fe 0.432 0.432 0.164  2.29
Fe 0.500 0.122 0.878  1.32
Fe 0.500 0.878 0.122  1.32
Fe 0.122 0.500 0.878  1.32
Fe 0.432 0.164 0.432  2.29
Fe 0.836 0.568 0.568  2.29
Fe 0.164 0.432 0.432  2.29
Si 0.710 0.248 0.248  -0.08
Si 0.752 0.290 0.752  -0.08
Si 0.752 0.752 0.290  -0.08
Si 0.248 0.248 0.710  -0.08
Si 0.290 0.752 0.752  -0.08
Si 0.248 0.710 0.248  -0.08
Tb 0.000 0.000 0.000  -0.23

Values from the calculation:
As for the raw formation energy: -439 kJ/mol of formula units. The value obtained for the volume is 13.051 A^3/atom. As for the density of states at the Fermi level: 1.050 states/eV/atom.



MgNpSbO6 after structural relaxation, computed with PBE.

Unit cell a=5.312 b=5.312 c=9.116 alpha=90.00 beta=90.00 gamma=120.00
Last column: magnetic moment on the atom in μB.
Element x y z (fractional)
Mg 0.667 0.333 0.750  0.00
Mg 0.333 0.667 0.250  0.00
O 0.321 0.999 0.126  -0.03
O 0.679 0.001 0.874  -0.03
O 0.678 0.999 0.374  -0.03
O 0.679 0.678 0.626  -0.03
O 0.999 0.321 0.626  -0.03
O 0.321 0.322 0.374  -0.03
O 0.322 0.321 0.874  -0.03
O 0.999 0.678 0.874  -0.03
O 0.322 0.001 0.626  -0.03
O 0.001 0.322 0.126  -0.03
O 0.678 0.679 0.126  -0.03
O 0.001 0.679 0.374  -0.03
Np 0.667 0.333 0.250  2.13
Np 0.333 0.667 0.750  2.13
Sb 0.000 0.000 0.000  0.05
Sb 0.000 0.000 0.500  0.05

Values from the calculation:
As for the raw formation energy: -1911 kJ/mol of formula units. The value obtained for the volume is 12.375 A^3/atom. As for the density of states at the Fermi level: 0.452 states/eV/atom.



YTl2N after structural relaxation, computed with PBE.

Unit cell a=5.034 b=5.034 c=5.034 alpha=60.00 beta=60.00 gamma=60.00
Element x y z (fractional)
Y 0.500 0.500 0.500
N 0.000 0.000 0.000
Tl 0.750 0.750 0.750
Tl 0.250 0.250 0.250

Values from the calculation:
As for the raw formation energy: 333 kJ/mol of formula units. The value obtained for the volume is 22.547 A^3/atom. As for the density of states at the Fermi level: 0.636 states/eV/atom. As for the distance to the lowest polymorph of the same formula: 0.807 eV/atom.



Sn4P2I after structural relaxation, computed with PBE.

Unit cell a=5.854 b=5.854 c=8.416 alpha=69.65 beta=69.65 gamma=90.00
Element x y z (fractional)
Sn 0.000 0.500 0.000
Sn 0.747 0.747 0.506
Sn 0.253 0.253 0.494
Sn 0.500 0.000 0.000
P 0.426 0.426 0.148
P 0.574 0.574 0.852
I 0.000 0.000 0.000

Values from the calculation:
As for the raw formation energy: 374 kJ/mol of formula units. The value obtained for the volume is 35.879 A^3/atom. As for the density of states at the Fermi level: 0.739 states/eV/atom.



Na2PmPr3Te6 after structural relaxation, computed with PBE.

Unit cell a=7.828 b=7.828 c=7.880 alpha=99.52 beta=99.52 gamma=119.97
Element x y z (fractional)
Te 0.918 0.587 0.755
Te 0.082 0.413 0.245
Te 0.752 0.752 0.249
Te 0.413 0.082 0.245
Te 0.248 0.248 0.751
Te 0.587 0.918 0.755
Pr 0.500 0.500 0.500
Pr 0.169 0.831 0.500
Pr 0.831 0.169 0.500
Na 0.666 0.334 0.000
Na 0.334 0.666 0.000
Pm 0.000 0.000 0.000

Values from the calculation:
As for the raw formation energy: -1587 kJ/mol of formula units. The value obtained for the volume is 32.906 A^3/atom. As for the density of states at the Fermi level: 0.321 states/eV/atom.



Ba4HIr2 after structural relaxation, computed with PBE.

Unit cell a=5.128 b=5.128 c=8.853 alpha=73.17 beta=73.17 gamma=90.00
Element x y z (fractional)
H 0.000 0.000 0.000
Ir 0.374 0.374 0.251
Ir 0.626 0.626 0.749
Ba 0.000 0.500 0.000
Ba 0.191 0.191 0.618
Ba 0.500 0.000 0.000
Ba 0.809 0.809 0.382

Values from the calculation:
The value obtained for the volume is 30.336 A^3/atom. The electronic total energy is -4.163 eV per atom. As for the density of states at the Fermi level: 0.403 states/eV/atom.



Repeat the fifth record exactly.
Na2PmPr3Te6 after structural relaxation, computed with PBE.

Unit cell a=7.828 b=7.828 c=7.880 alpha=99.52 beta=99.52 gamma=119.97
Element x y z (fractional)
Te 0.918 0.587 0.755
Te 0.082 0.413 0.245
Te 0.752 0.752 0.249
Te 0.413 0.082 0.245
Te 0.248 0.248 0.751
Te 0.587 0.918 0.755
Pr 0.500 0.500 0.500
Pr 0.169 0.831 0.500
Pr 0.831 0.169 0.500
Na 0.666 0.334 0.000
Na 0.334 0.666 0.000
Pm 0.000 0.000 0.000

Values from the calculation:
As for the raw formation energy: -1587 kJ/mol of formula units. The value obtained for the volume is 32.906 A^3/atom. As for the density of states at the Fermi level: 0.321 states/eV/atom.